Entry 1:
FeAgIr2 after structural relaxation. Source: Alexandria via LeMat-Bulk, functional GGA-PBE.

Output
crystal system = monoclinic
density = 15.3 g/cm3
relative energy among the computed polymorphs = 15.6 kJ per mole of atoms

a = 9.0947 Å, b = 2.7585 Å, c = 4.8268 Å
α = 90.00°, β = 100.31°, γ = 90.00°
Space group Cm (No. 8)
Inequivalent atoms, fractional coordinates:
Fe: 0.0000 0.0000 0.0000 x2
Ag: 0.2448 0.0000 0.7674 x2
Ir: 0.2415 0.5000 0.2678 x2
Ir: 0.4844 0.0000 0.4620 x2

Entry 2:
SrAs2Pt after structural relaxation. Source: Alexandria via LeMat-Bulk, functional GGA-PBE.

Output
crystal system = monoclinic
VASP energy = -4.888 eV per atom
density = 7.1 g/cm3

a = 4.7071 Å, b = 4.4813 Å, c = 4.8407 Å
α = 90.00°, β = 96.31°, γ = 90.00°
Space group Pm (No. 6)
Inequivalent atoms, fractional coordinates:
Sr: 0.0000 0.0000 0.0000 x1
As: 0.3014 0.5000 0.6358 x1
As: 0.5445 0.0000 0.4198 x1
Pt: 0.7983 0.5000 0.4739 x1

Entry 3:
Th2Al2C3 after structural relaxation. Source: Alexandria via LeMat-Bulk, functional GGA-PBE.

Output
crystal system = orthorhombic
VASP energy = -7.483 eV per atom
density = 8.3 g/cm3

a = 5.4291 Å, b = 11.5944 Å, c = 3.5152 Å
α = 90.00°, β = 90.00°, γ = 90.00°
Space group Pnnm (No. 58)
Inequivalent atoms, fractional coordinates:
Th: 0.1749 0.1496 0.0000 x4
Al: 0.1840 0.4147 0.0000 x4
C: 0.0000 0.0000 0.5000 x2
C: 0.1679 0.3114 0.5000 x4

Entry 4:
La2ZrSc2 after structural relaxation. Source: Alexandria via LeMat-Bulk, functional GGA-PBE.

Output
crystal system = tetragonal
VASP energy = -5.924 eV per atom
density = 5.3 g/cm3

a = 9.1322 Å, b = 9.1322 Å, c = 3.4191 Å
α = 90.00°, β = 90.00°, γ = 90.00°
Space group P4/mbm (No. 127)
Inequivalent atoms, fractional coordinates:
La: 0.1788 0.3212 0.0000 x4
Zr: 0.0000 0.0000 0.5000 x2
Sc: 0.1212 0.6212 0.5000 x4

Entry 5:
NaMg4F8 after structural relaxation. Source: Alexandria via LeMat-Bulk, functional GGA-PBE.

Output
crystal system = cubic
formation energy (no corrections) = -3112 meV per atom
density = 2.5 g/cm3

a = 9.0251 Å, b = 9.0251 Å, c = 9.0251 Å
α = 90.00°, β = 90.00°, γ = 90.00°
Space group F-43m (No. 216)
Inequivalent atoms, fractional coordinates:
Na: 0.0000 0.0000 0.0000 x4
Mg: 0.1231 0.1231 0.3769 x16
F: 0.1037 0.1037 0.6037 x16
F: 0.1457 0.1457 0.1457 x16

Entry 6:
K3Sb2Te4 after structural relaxation. Source: Alexandria via LeMat-Bulk, functional GGA-PBE.

Output
crystal system = monoclinic
formation energy (no corrections) = -543 meV per atom
density = 4.0 g/cm3
relative energy among the computed polymorphs = 3.1 kJ per mole of atoms

a = 11.8750 Å, b = 11.8911 Å, c = 10.4168 Å
α = 90.00°, β = 99.81°, γ = 90.00°
Space group C2/c (No. 15)
Inequivalent atoms, fractional coordinates:
K: 0.0000 0.1700 0.2500 x4
K: 0.1580 0.3832 0.6811 x8
Sb: 0.1079 0.1317 0.9080 x8
Te: 0.1071 0.3462 0.0344 x8
Te: 0.1389 0.0710 0.6073 x8

no.,total magnetic moment (Bohr magnetons per cell)
1,6.68
2,0.00
3,0.00
4,0.00
5,0.00
6,0.00